# 1
Here is a relaxed V4Re2Mo crystal from the Alexandria database. Energies are from PBE.

Cell: 6.043 6.043 5.959 Å, 90.00 90.00 90.00°
Space group I4/mmm (No. 139)
Inequivalent atoms, fractional coordinates:
V 0.250 0.250 0.250 (multiplicity 8)
Re 0.000 0.500 0.000 (multiplicity 4)
Mo 0.000 0.000 0.000 (multiplicity 2)

Summary:
Its energy above the most stable polymorph in this dataset is 0.000 eV per atom. The density comes out at 10.26 g/cm3. Its formation energy is 10.7 kJ per mole of atoms.

=====

# 2
Here is a relaxed Rb2VAgI6 crystal from the Alexandria database. Energies are from PBE.

Cell: 7.822 7.823 8.486 Å, 62.65 62.59 89.98°
Space group P1 (No. 1)
Inequivalent atoms, fractional coordinates:
Rb 0.000 0.000 0.000 (multiplicity 1)
Rb 0.499 0.499 0.000 (multiplicity 1)
V 0.239 0.739 0.520 (multiplicity 1)
Ag 0.695 0.195 0.609 (multiplicity 1)
I 0.025 0.527 0.947 (multiplicity 1)
I 0.067 0.056 0.496 (multiplicity 1)
I 0.433 0.444 0.500 (multiplicity 1)
I 0.469 0.966 0.064 (multiplicity 1)
I 0.555 0.933 0.499 (multiplicity 1)
I 0.946 0.567 0.497 (multiplicity 1)

Summary:
As for the uncorrected formation energy: -784 meV per atom. The density comes out at 4.59 g/cm3.

=====

# 3
Here is a relaxed TbAlP2Rh5 crystal from the Alexandria database. Energies are from PBE.

Cell: 4.062 4.062 9.500 Å, 90.00 90.00 90.00°
Space group P4/mmm (No. 123)
Inequivalent atoms, fractional coordinates:
Tb 0.000 0.000 0.000 (multiplicity 1)
Al 0.000 0.000 0.500 (multiplicity 1)
P 0.500 0.500 0.237 (multiplicity 2)
Rh 0.000 0.500 0.342 (multiplicity 4)
Rh 0.500 0.500 0.000 (multiplicity 1)

Summary:
The density comes out at 8.08 g/cm3. Its formation energy is -76.0 kJ per mole of atoms.

=====

# 4
Here is a relaxed Os5W crystal from the Alexandria database. Energies are from PBE.

Cell: 9.995 2.767 6.514 Å, 90.00 103.77 90.00°
Space group Cm (No. 8)
Inequivalent atoms, fractional coordinates:
Os 0.000 0.000 0.000 (multiplicity 2)
Os 0.055 0.000 0.614 (multiplicity 2)
Os 0.163 0.500 0.335 (multiplicity 2)
Os 0.219 0.500 0.944 (multiplicity 2)
Os 0.332 0.000 0.669 (multiplicity 2)
W 0.387 0.000 0.281 (multiplicity 2)

Summary:
Its energy above the most stable polymorph in this dataset is 0.008 eV per atom. The density comes out at 21.55 g/cm3. Its formation energy is -2.0 kJ per mole of atoms.

=====

# 5
Here is a relaxed Na2SmCdSb2 crystal from the Alexandria database. Energies are from PBE.

Cell: 4.628 9.578 7.569 Å, 90.00 90.00 90.00°
Space group Pmc2_1 (No. 26)
Inequivalent atoms, fractional coordinates:
Na 0.000 0.069 0.000 (multiplicity 2)
Na 0.500 0.168 0.306 (multiplicity 2)
Sm 0.500 0.441 0.922 (multiplicity 2)
Cd 0.000 0.315 0.606 (multiplicity 2)
Sb 0.000 0.379 0.212 (multiplicity 2)
Sb 0.500 0.155 0.720 (multiplicity 2)

Summary:
As for the uncorrected formation energy: -537 meV per atom. The density comes out at 5.47 g/cm3.

=====

# 6
Here is a relaxed NaSr6Li2 crystal from the Alexandria database. Energies are from PBE.

Cell: 11.640 11.654 6.085 Å, 90.00 90.00 90.00°
Space group Pnnm (No. 58)
Inequivalent atoms, fractional coordinates:
Na 0.000 0.000 0.000 (multiplicity 2)
Sr 0.023 0.319 0.000 (multiplicity 4)
Sr 0.129 0.872 0.500 (multiplicity 4)
Sr 0.181 0.525 0.500 (multiplicity 4)
Li 0.199 0.201 0.500 (multiplicity 4)

Summary:
Its energy above the most stable polymorph in this dataset is 0.036 eV per atom. The density comes out at 2.26 g/cm3. Its formation energy is 5.1 kJ per mole of atoms.

=====

# 7
Here is a relaxed Zr6Zn3Os crystal from the Alexandria database. Energies are from PBE.

Cell: 8.195 4.851 10.254 Å, 90.00 107.62 90.00°
Space group P2_1/m (No. 11)
Inequivalent atoms, fractional coordinates:
Zr 0.044 0.250 0.410 (multiplicity 2)
Zr 0.165 0.750 0.178 (multiplicity 2)
Zr 0.260 0.250 0.996 (multiplicity 2)
Zr 0.342 0.750 0.807 (multiplicity 2)
Zr 0.369 0.250 0.323 (multiplicity 2)
Zr 0.415 0.250 0.627 (multiplicity 2)
Zn 0.026 0.750 0.882 (multiplicity 2)
Zn 0.108 0.250 0.705 (multiplicity 2)
Zn 0.268 0.750 0.478 (multiplicity 2)
Os 0.451 0.750 0.095 (multiplicity 2)

Summary:
The density comes out at 7.98 g/cm3. Its formation energy is -22.9 kJ per mole of atoms.

=====

# 8
Here is a relaxed Co2Ru crystal from the Alexandria database. Energies are from PBE.

Cell: 2.572 3.566 7.583 Å, 90.00 90.00 90.00°
Space group Immm (No. 71)
Inequivalent atoms, fractional coordinates:
Co 0.000 0.000 0.167 (multiplicity 4)
Ru 0.000 0.000 0.500 (multiplicity 2)

Summary:
Its energy above the most stable polymorph in this dataset is 0.024 eV per atom. The density comes out at 10.45 g/cm3. Its formation energy is 14.2 kJ per mole of atoms.

=====

# 9
Here is a relaxed Ca2ScBr crystal from the Alexandria database. Energies are from PBE.

Cell: 3.549 6.071 11.560 Å, 90.00 90.00 90.00°
Space group Imm2 (No. 44)
Inequivalent atoms, fractional coordinates:
Ca 0.000 0.000 0.000 (multiplicity 2)
Ca 0.000 0.500 0.198 (multiplicity 2)
Sc 0.000 0.000 0.425 (multiplicity 2)
Br 0.000 0.500 0.727 (multiplicity 2)

Summary:
Its energy above the most stable polymorph in this dataset is 0.203 eV per atom. As for the uncorrected formation energy: -359 meV per atom. The density comes out at 2.73 g/cm3.

=====

# 10
Here is a relaxed Sc3Ag2 crystal from the Alexandria database. Energies are from PBE.

Cell: 3.392 3.392 18.400 Å, 90.00 90.00 90.00°
Space group P4/mmm (No. 123)
Inequivalent atoms, fractional coordinates:
Sc 0.000 0.000 0.000 (multiplicity 1)
Sc 0.000 0.000 0.190 (multiplicity 2)
Sc 0.000 0.000 0.381 (multiplicity 2)
Sc 0.500 0.500 0.500 (multiplicity 1)
Ag 0.500 0.500 0.094 (multiplicity 2)
Ag 0.500 0.500 0.286 (multiplicity 2)

Summary:
Its energy above the most stable polymorph in this dataset is 0.000 eV per atom. The density comes out at 5.50 g/cm3. Its formation energy is -19.6 kJ per mole of atoms.

=====

# 11
Here is a relaxed BaMgZn4In2 crystal from the Alexandria database. Energies are from PBE.

Cell: 4.7071 4.7071 29.4339 Å, 90.00 90.00 120.00°
Space group R-3m (No. 166, hexagonal axes)
Inequivalent atoms, fractional coordinates:
Ba 0.0000 0.0000 0.0000 (multiplicity 3)
Mg 0.0000 0.0000 0.5000 (multiplicity 3)
Zn 0.0000 0.0000 0.1306 (multiplicity 6)
Zn 0.0000 0.0000 0.4038 (multiplicity 6)
In 0.0000 0.0000 0.2378 (multiplicity 6)

Summary:
The density comes out at 5.76 g/cm3. Its formation energy is -11.9 kJ per mole of atoms.

=====

# 12
Here is a relaxed CePaAl crystal from the Alexandria database. Energies are from PBE.

Cell: 3.037 3.037 14.774 Å, 90.00 90.00 90.00°
Space group I4mm (No. 107)
Inequivalent atoms, fractional coordinates:
Ce 0.000 0.000 0.000 (multiplicity 2)
Pa 0.000 0.000 0.683 (multiplicity 2)
Al 0.000 0.000 0.338 (multiplicity 2)

Summary:
Its energy above the most stable polymorph in this dataset is 0.016 eV per atom. The density comes out at 9.70 g/cm3. Its formation energy is -8.3 kJ per mole of atoms.

=====

The records above yield total DFT energy (no corrections) values of -10.2034; -3.1049; -7.0043; -11.5381; -3.2900; -1.6401; -6.8717; -7.6823; -3.3612; -5.1426; -1.8844; -6.4771 eV/atom, respectively.